## Na4Pb3Au2 (PBE)

Data for a relaxed Na4Pb3Au2 crystal.

Lattice parameters (Å, degrees): 4.8477 6.9018 8.2897 110.11 107.00 90.00
Element x y z (fractional)
Na 0.2213 0.6591 0.4425
Na 0.7787 0.3409 0.5575
Na 0.6062 0.8317 0.2124
Na 0.3938 0.1683 0.7876
Pb 0.1052 0.1374 0.2104
Pb 0.8948 0.8626 0.7896
Pb 0.0000 0.5000 0.0000
Au 0.4028 0.6258 0.8057
Au 0.5972 0.3742 0.1943

Results
M_tot: 0.0 μB per cell
uncorrected energy: -2.735 eV/atom
space-group type: C2/m

## Na5PbAu (PBE)

Data for a relaxed Na5PbAu crystal.

Lattice parameters (Å, degrees): 6.1363 6.1363 11.0361 97.01 97.01 87.03
Element x y z (fractional)
Na 0.0209 0.5889 0.1674
Na 0.2476 0.4812 0.4862
Na 0.5889 0.0209 0.6674
Na 0.8524 0.1476 0.2500
Na 0.5188 0.7524 0.0138
Na 0.4812 0.2476 0.9862
Na 0.1476 0.8524 0.7500
Na 0.4111 0.9791 0.3326
Na 0.7524 0.5188 0.5138
Na 0.9791 0.4111 0.8326
Pb 0.0000 0.0000 0.0000
Pb 0.0000 0.0000 0.5000
Au 0.5049 0.4951 0.2500
Au 0.4951 0.5049 0.7500

Results
M_tot: 0.0 μB per cell
uncorrected energy: -2.080 eV/atom
space-group type: C2/c